A plane-wave DFT calculation with PBE was carried out for a relaxed Pr2Nd7Y crystal.

CIF file:
```
data_Pr2Nd7Y
_space_group_name_H-M_alt 'C m m m'
_space_group_IT_number 65
_space_group_name_Hall '-C 2 2'
_cell_length_a 8.757
_cell_length_b 17.460
_cell_length_c 5.434
_cell_angle_alpha 90.00
_cell_angle_beta 90.00
_cell_angle_gamma 90.00
loop_
_atom_site_label
_atom_site_type_symbol
_atom_site_fract_x
_atom_site_fract_y
_atom_site_fract_z
_atom_site_occupancy
Pr1 Pr 0.000 0.205 0.000 1
Nd1 Nd 0.000 0.000 0.000 1
Nd2 Nd 0.000 0.292 0.500 1
Nd3 Nd 0.182 0.392 0.000 1
Y1 Y 0.000 0.500 0.500 1
```

energy of formation from the pure elements: 0.612 eV/atom
Fermi-level density of states: 1.654 states/eV per atom



A plane-wave DFT calculation with PBE was carried out for a relaxed BaYPCl2 crystal.

CIF file:
```
data_BaYPCl2
_space_group_name_H-M_alt 'P 4/m m m'
_space_group_IT_number 123
_space_group_name_Hall '-P 4 2'
_cell_length_a 5.250
_cell_length_b 5.250
_cell_length_c 5.507
_cell_angle_alpha 90.00
_cell_angle_beta 90.00
_cell_angle_gamma 90.00
loop_
_atom_site_label
_atom_site_type_symbol
_atom_site_fract_x
_atom_site_fract_y
_atom_site_fract_z
_atom_site_occupancy
Ba1 Ba 0.000 0.000 0.000 1
Y1 Y 0.500 0.500 0.500 1
P1 P 0.500 0.500 0.000 1
Cl1 Cl 0.000 0.500 0.500 1
```

E_form (uncorrected): -1687 meV/atom



Quick rundown of DFT total energy, same order as above: -4.328 -5.185 eV per atom